# 1
15
Lattice="6.251 0.000 0.000 -3.125 5.413 0.000 0.000 0.000 7.852" Properties=species:S:1:pos:R:3 comment="Rb3Mn2TlF9 | the Alexandria database | PBE+U | relaxed" final_energy_ev_per_atom=-5.04 magmom_total_mub_per_cell=9.00 pbc="T T T"
Rb 0.000 0.000 0.000
Rb 0.000 3.609 5.263
Rb 3.125 1.804 2.588
Mn 0.000 3.609 1.173
Mn 3.125 1.804 6.679
Tl 0.000 0.000 3.926
F -1.563 2.707 0.000
F 0.000 1.946 2.378
F -1.441 4.441 2.378
F 1.685 0.973 5.474
F 3.125 0.000 0.000
F 1.563 2.707 0.000
F 1.441 4.441 2.378
F 4.566 0.973 5.474
F 3.125 3.468 5.474

---

# 2
18
Lattice="5.860 0.000 0.000 -2.930 5.075 0.000 0.000 0.000 11.790" Properties=species:S:1:pos:R:3 comment="RbTmMnF6 | the Alexandria database | PBE+U | relaxed" final_energy_ev_per_atom=-6.06 magmom_total_mub_per_cell=10.00 pbc="T T T"
Rb 0.000 0.000 0.000
Rb 0.000 0.000 5.895
Tm 0.000 3.383 2.947
Tm 2.930 1.692 8.842
Mn 0.000 3.383 8.842
Mn 2.930 1.692 2.947
F -1.124 1.950 1.794
F 4.733 1.948 7.689
F -1.803 3.127 4.101
F 4.054 3.125 9.996
F -0.679 5.073 1.794
F 2.251 0.002 7.689
F 1.124 1.950 4.101
F 1.127 1.948 9.996
F 0.679 5.073 4.101
F 3.609 0.002 9.996
F 1.803 3.127 1.794
F 1.806 3.125 7.689

---

# 3
12
Lattice="5.268 0.000 0.000 1.021 5.168 0.000 1.224 1.012 7.326" Properties=species:S:1:pos:R:3 comment="RbMn2VF8 | the Alexandria database | PBE+U | relaxed" final_energy_ev_per_atom=-5.93 magmom_total_mub_per_cell=12.00 pbc="T T T"
Rb 0.000 0.000 0.000
Mn 3.122 2.567 1.689
Mn 4.391 3.614 5.637
V 0.612 0.506 3.663
F 2.717 4.712 5.054
F 2.362 4.418 2.277
F 2.092 1.716 3.296
F 3.383 2.774 7.324
F 4.130 3.407 0.002
F 5.421 4.464 4.030
F 5.150 1.763 5.049
F 4.796 1.469 2.272

---

# 4
10
Lattice="-3.193 3.193 4.510 3.193 -3.193 4.510 3.193 3.193 -4.510" Properties=species:S:1:pos:R:3 comment="Rb2MnWF6 | the Alexandria database | PBE+U | relaxed" final_energy_ev_per_atom=-5.19 magmom_total_mub_per_cell=8.95 pbc="T T T"
Rb 3.193 0.000 2.255
Rb 0.000 3.193 2.255
Mn 0.000 0.000 0.000
W 0.000 0.000 4.510
F 0.000 0.000 2.362
F 1.674 1.674 0.000
F 1.519 -1.519 4.510
F -1.519 1.519 4.510
F 0.000 0.000 6.658
F 1.519 1.519 4.510